[1]
DFT (PBE) results for a relaxed structure of Na2Si2Pd.

a b c (Å): 5.8770 5.8770 6.9344
angles (deg): 90.00 90.00 106.26
Closest atoms and distances in Å follow each position.
Fractional positions:
Na 0.8026 0.1974 0.0000  4 Si 3.04-3.14
Na 0.8026 0.1974 0.5000  4 Si 3.04-3.14
Na 0.1974 0.8026 0.5000  4 Si 3.04-3.14
Si 0.6688 0.6688 0.5875  1 Si 2.25, 2 Pd 2.34-2.52
Na 0.1974 0.8026 0.0000  4 Si 3.04-3.14
Pd 0.6514 0.6514 0.2500  4 Si 2.34-2.52
Si 0.6688 0.6688 0.9125  1 Si 2.25, 2 Pd 2.34-2.52
Si 0.3312 0.3312 0.0875  1 Si 2.25, 2 Pd 2.34-2.52
Pd 0.3486 0.3486 0.7500  4 Si 2.34-2.52
Si 0.3312 0.3312 0.4125  1 Si 2.25, 2 Pd 2.34-2.52

Results
Theoretical density in g/cm3: 3.01
Volume in Å³ per cell: 229.93



[2]
DFT (PBE) results for a relaxed structure of Zr2PbW.

a b c (Å): 4.8879 4.8879 4.8879
angles (deg): 60.00 60.00 60.00
Closest atoms and distances in Å follow each position.
Fractional positions:
W 0.7500 0.7500 0.7500  4 Zr 2.99, 4 Pb 2.99
Pb 0.5000 0.5000 0.5000  4 Zr 2.99, 4 W 2.99
Zr 0.0000 0.0000 0.0000  4 W 2.99, 4 Zr 2.99
Zr 0.2500 0.2500 0.2500  4 Zr 2.99, 4 Pb 2.99

Results
Theoretical density in g/cm3: 11.53
Energy of formation from the pure elements in meV per atom: 333
Volume in Å³ per cell: 82.58



[3]
DFT (PBE) results for a relaxed structure of ScTlMo.

a b c (Å): 5.4299 5.4299 5.4299
angles (deg): 142.10 142.10 54.67
Closest atoms and distances in Å follow each position.
Fractional positions:
Mo 0.9976 0.9976 0.0000  4 Sc 2.90, 4 Tl 2.94
Tl 0.6591 0.6591 0.0000  5 Mo 2.94-3.27, 5 Sc 3.05-3.06
Sc 0.3433 0.3433 0.0000  4 Mo 2.90, 5 Tl 3.05-3.06

Results
Theoretical density in g/cm3: 9.56
Energy of formation from the pure elements in meV per atom: 255
Volume in Å³ per cell: 59.98



Number 1: E_tot -3.838 eV/atom. Number 2: E_tot -8.106 eV/atom. Number 3: E_tot -6.255 eV/atom.